Entry 1:
## Y2TeO6 (SCAN)

Data for a crystal of Y2TeO6 relaxed with PBEsol.

Calculated values
**Crystal system**: trigonal
**E_form (uncorrected)**: -2.825 eV per atom

Cell lengths 9.0274, 9.0274, 5.1773 Å; angles 90.00, 90.00, 120.00 degrees
Space group P321 (No. 150)
One atom of each set of equivalent atoms:
Y1 0.0000 0.2799 0.0000
Y2 0.0000 0.6169 0.5000
Te1 0.0000 0.0000 0.5000
Te2 0.3333 0.6667 0.9952
O1 0.0751 0.8746 0.2868
O2 0.1319 0.5431 0.2093
O3 0.2276 0.7642 0.7793

=====

Entry 2:
## BaBe2Cd (SCAN)

Data for a crystal of BaBe2Cd relaxed with PBEsol.

Calculated values
**Crystal system**: tetragonal

Cell lengths 4.839, 4.839, 16.765 Å; angles 90.00, 90.00, 90.00 degrees
Space group I4_1/amd (No. 141, origin choice 2)
One atom of each set of equivalent atoms:
Ba1 0.000 0.250 0.375
Be1 0.000 0.000 0.000
Cd1 0.000 0.250 0.875

=====

Entry 3:
## BaLi2Ag (SCAN)

Data for a crystal of BaLi2Ag relaxed with PBEsol.

Calculated values
**Crystal system**: trigonal

Cell lengths 4.7139, 4.7139, 17.3714 Å; angles 90.00, 90.00, 120.00 degrees
Space group R3m (No. 160, hexagonal axes)
One atom of each set of equivalent atoms:
Ba1 0.0000 0.0000 0.0000
Li1 0.0000 0.0000 0.1907
Li2 0.0000 0.0000 0.4882
Ag1 0.0000 0.0000 0.8026

=====

Per-record E, eV for the cell shown: -467.25 -309.16 -228.95